Material: LiSi2Au
Method: DFT, PBE
State: relaxed

Cell: 4.607 4.607 4.139 Å, 96.50 96.50 47.31°
Element x y z (fractional)
1 Li 0.000 0.000 0.000
2 Si 0.271 0.271 0.826
3 Si 0.729 0.729 0.174
4 Au 0.500 0.500 0.500

VASP energy (eV per atom): -4.081
Total moment (μB per formula unit): 0.0
Uncorrected formation energy (eV per atom): -0.0713